Entry from Alexandria: a relaxed structure of In2SnHg2 (PBE).

```
In2SnHg2
1.0
4.499 0.000 0.000
0.000 4.499 0.000
2.250 2.250 6.801
In Hg Sn
2 2 1
direct
0.750 0.250 0.500
0.250 0.750 0.500
0.397 0.397 0.206
0.603 0.603 0.794
0.000 0.000 0.000
```

Properties
As for the magnetization: 0.000 μB per atom. The energy above the most stable polymorph in this dataset is 114 meV per atom. The space-group type is I4/mmm. The energy relative to the elements is 0.147 eV per atom.

***

Entry from Alexandria: a relaxed structure of TiIrW2 (PBE).

```
TiIrW2
1.0
0.000 3.146 3.146
3.146 0.000 3.146
3.146 3.146 0.000
Ir W Ti
1 2 1
direct
0.500 0.500 0.500
0.250 0.250 0.250
0.750 0.750 0.750
0.000 0.000 0.000
```

Properties
As for the magnetization: 0.000 μB per atom. The energy above the most stable polymorph in this dataset is 0 meV per atom. The space-group type is Fm-3m. The energy relative to the elements is 0.023 eV per atom.

***

Entry from Alexandria: a relaxed structure of KYBe4 (PBE).

```
KYBe4
1.0
5.201 -0.688 0.099
2.455 -0.796 4.568
2.001 -4.720 1.115
K Y Be
1 1 4
direct
0.750 0.750 0.750
0.000 0.000 0.000
0.358 0.926 0.358
0.926 0.358 0.358
0.358 0.358 0.926
0.358 0.358 0.358
```

Properties
As for the magnetization: 0.000 μB per atom. The space-group type is F-43m. The energy relative to the elements is 0.624 eV per atom.

***

Entry from Alexandria: a relaxed structure of BeSiW2 (PBE).

```
BeSiW2
1.0
4.266 0.000 0.000
2.133 3.694 0.000
2.133 1.231 3.483
Be Si W
1 1 2
direct
0.500 0.500 0.500
0.750 0.750 0.750
0.000 0.000 0.000
0.250 0.250 0.250
```

Properties
As for the magnetization: 0.000 μB per atom. The value obtained for the uncorrected formation energy is 0.196 eV per atom. The space-group type is F-43m.

***

Entry from Alexandria: a relaxed structure of NaNiSn3 (PBE).

```
NaNiSn3
1.0
-1.081 -2.342 -3.525
-3.550 -6.326 5.292
-10.574 5.559 -0.450
Na Ni Sn
4 4 12
direct
0.750 0.831 0.001
0.250 0.669 0.501
0.750 0.331 0.499
0.250 0.169 0.999
0.250 0.073 0.651
0.250 0.573 0.849
0.750 0.427 0.151
0.750 0.927 0.349
0.250 0.577 0.075
0.750 0.423 0.925
0.250 0.077 0.425
0.750 0.923 0.575
0.250 0.360 0.698
0.750 0.140 0.198
0.250 0.860 0.802
0.750 0.620 0.714
0.250 0.380 0.286
0.750 0.120 0.786
0.750 0.640 0.302
0.250 0.880 0.214
```

Properties
As for the magnetization: 0.000 μB per atom. The energy above the most stable polymorph in this dataset is 0 meV per atom. The space-group type is Pnma. The energy relative to the elements is -0.159 eV per atom.

***

Entry from Alexandria: a relaxed structure of LiTiP2Cl (PBE).

```
LiTiP2Cl
1.0
4.657 0.000 0.000
0.000 4.657 0.000
0.000 0.000 5.226
P Cl Li Ti
2 1 1 1
direct
0.000 0.500 0.000
0.500 0.000 0.000
0.000 0.000 0.500
0.500 0.500 0.500
0.000 0.000 0.000
```

Properties
As for the magnetization: 0.000 μB per atom. The energy above the most stable polymorph in this dataset is 0 meV per atom. The value obtained for the uncorrected formation energy is -0.403 eV per atom. The space-group type is P4/mmm.

***

Entry from Alexandria: a relaxed structure of TiSi3P (PBE).

```
TiSi3P
1.0
-1.992 -4.319 -0.413
3.396 -1.835 2.810
-2.701 0.878 3.837
P Si Ti
1 3 1
direct
0.500 0.500 0.500
0.000 0.500 0.000
0.000 0.000 0.500
0.500 0.000 0.000
0.000 0.000 0.000
```

Properties
As for the magnetization: 0.000 μB per atom. The energy above the most stable polymorph in this dataset is 226 meV per atom. The value obtained for the uncorrected formation energy is 1.008 eV per atom. The space-group type is Pm-3m.

***

Entry from Alexandria: a relaxed structure of TbPr2DyEr2 (PBE).

```
TbPr2DyEr2
1.0
-4.531 -0.505 3.376
-1.458 -6.242 -2.889
5.554 -4.440 6.791
Tb Pr Dy Er
2 4 2 4
direct
0.000 0.007 0.500
0.000 0.507 0.500
0.500 0.008 0.000
0.000 0.258 0.175
0.500 0.508 0.000
0.000 0.758 0.825
0.500 0.257 0.661
0.500 0.757 0.339
0.000 0.258 0.835
0.500 0.258 0.334
0.000 0.758 0.165
0.500 0.758 0.666
```

Properties
As for the magnetization: 0.000 μB per atom. The space-group type is Pmc2_1. The energy relative to the elements is 0.069 eV per atom.

***

Entry from Alexandria: a relaxed structure of CrIr4 (PBE).

```
CrIr4
1.0
-2.220 2.876 1.235
-3.862 -1.397 2.272
3.262 -1.366 3.086
Cr Ir
1 4
direct
0.000 0.000 0.000
0.797 0.805 0.399
0.203 0.195 0.601
0.602 0.601 0.805
0.398 0.399 0.195
```

Properties
As for the magnetization: 0.283 μB per atom. The energy above the most stable polymorph in this dataset is 0 meV per atom. The space-group type is I4/m. The energy relative to the elements is -0.129 eV per atom.

***

Entry from Alexandria: a relaxed structure of TbPr6SmEr2 (PBE).

```
TbPr6SmEr2
1.0
-6.287 -4.097 -6.243
7.277 -2.761 -4.506
-2.687 -4.984 6.987
Tb Pr Sm Er
2 12 2 4
direct
0.250 0.970 0.030
0.750 0.030 0.970
0.055 0.111 0.761
0.445 0.239 0.889
0.945 0.889 0.239
0.555 0.761 0.111
0.314 0.989 0.436
0.186 0.564 0.011
0.686 0.011 0.564
0.814 0.436 0.989
0.119 0.705 0.489
0.381 0.511 0.295
0.881 0.295 0.511
0.619 0.489 0.705
0.250 0.409 0.591
0.750 0.591 0.409
0.453 0.802 0.708
0.047 0.292 0.198
0.547 0.198 0.292
0.953 0.708 0.802
```

Properties
As for the magnetization: 0.000 μB per atom. The space-group type is C2/c. The energy relative to the elements is 0.114 eV per atom.

***

Entry from Alexandria: a relaxed structure of Ba6CaH12 (PBE).

```
Ba6CaH12
1.0
7.443 -0.013 -1.152
-1.342 7.321 -1.152
-0.010 -0.013 7.532
Ba Ca H
6 1 12
direct
0.711 0.860 0.399
0.601 0.289 0.140
0.140 0.601 0.289
0.289 0.140 0.601
0.399 0.711 0.860
0.860 0.399 0.711
0.000 0.000 0.000
0.821 0.545 0.407
0.407 0.821 0.545
0.545 0.407 0.821
0.179 0.455 0.593
0.593 0.179 0.455
0.455 0.593 0.179
0.055 0.941 0.298
0.059 0.702 0.945
0.702 0.945 0.059
0.945 0.059 0.702
0.941 0.298 0.055
0.298 0.055 0.941
```

Properties
As for the magnetization: 0.000 μB per atom. The total energy is -3.281 eV/atom. The space-group type is R-3.

***

Entry from Alexandria: a relaxed structure of Zr4Cd3In (PBE).

```
Zr4Cd3In
1.0
-0.514 5.331 0.619
-3.537 0.268 -5.248
-8.444 -1.466 5.615
In Zr Cd
2 8 6
direct
0.000 0.500 0.000
0.000 0.500 0.500
0.500 0.750 0.000
0.500 0.750 0.500
0.500 0.250 0.000
0.500 0.250 0.500
0.147 0.750 0.750
0.853 0.750 0.250
0.853 0.250 0.250
0.147 0.250 0.750
0.000 0.000 0.000
0.000 0.000 0.500
0.651 0.000 0.750
0.349 0.000 0.250
0.647 0.500 0.750
0.353 0.500 0.250
```

Properties
As for the magnetization: 0.000 μB per atom. The space-group type is Pmma. The energy relative to the elements is -0.151 eV per atom.

***

Entry from Alexandria: a relaxed structure of SrAg4Pb (PBE).

```
SrAg4Pb
1.0
5.783 0.000 0.000
2.892 5.008 0.000
2.892 1.669 4.722
Ag Pb Sr
4 1 1
direct
0.125 0.625 0.625
0.625 0.625 0.625
0.625 0.125 0.625
0.625 0.625 0.125
0.250 0.250 0.250
0.000 0.000 0.000
```

Properties
As for the magnetization: 0.000 μB per atom. The space-group type is F-43m. The energy relative to the elements is -0.212 eV per atom.

***

Entry from Alexandria: a relaxed structure of Th3Zn6CuAu2 (PBE).

```
Th3Zn6CuAu2
1.0
-3.182 -5.184 -0.304
2.634 1.654 5.237
-6.587 3.921 2.075
Th Zn Cu Au
3 6 1 2
direct
0.333 0.667 0.708
0.667 0.333 0.292
0.000 0.000 0.000
0.622 0.811 0.344
0.189 0.378 0.344
0.189 0.811 0.344
0.811 0.622 0.656
0.378 0.189 0.656
0.811 0.189 0.656
0.000 0.000 0.500
0.667 0.333 0.929
0.333 0.667 0.071
```

Properties
As for the magnetization: 0.000 μB per atom. The space-group type is P-3m1. The energy relative to the elements is -0.132 eV per atom.

***

Entry from Alexandria: a relaxed structure of KBe3Pb (PBE).

```
KBe3Pb
1.0
5.054 0.000 0.000
0.000 5.054 0.000
0.000 0.000 5.054
Pb Be K
1 3 1
direct
0.000 0.000 0.000
0.000 0.500 0.000
0.000 0.000 0.500
0.500 0.000 0.000
0.500 0.500 0.500
```

Properties
As for the magnetization: 0.000 μB per atom. The energy above the most stable polymorph in this dataset is 0 meV per atom. The space-group type is Pm-3m. The energy relative to the elements is 1.213 eV per atom.

***

Entry from Alexandria: a relaxed structure of Ac3PrSn12 (PBE).

```
Ac3PrSn12
1.0
-1.088 2.702 3.936
-4.119 -2.573 0.628
9.597 -12.602 11.305
Ac Pr Sn
3 1 12
direct
0.000 0.000 0.246
0.000 0.000 0.500
0.000 0.000 0.754
0.000 0.000 0.000
0.500 0.500 0.000
0.500 0.500 0.245
0.500 0.500 0.500
0.500 0.500 0.755
0.500 0.000 0.120
0.500 0.000 0.373
0.500 0.000 0.627
0.500 0.000 0.880
0.000 0.500 0.120
0.000 0.500 0.373
0.000 0.500 0.627
0.000 0.500 0.880
```

Properties
As for the magnetization: 0.000 μB per atom. The space-group type is P4/mmm. The energy relative to the elements is -0.508 eV per atom.

***

Entry from Alexandria: a relaxed structure of MgCoSn6 (PBE).

```
MgCoSn6
1.0
-2.754 -0.304 -6.453
2.069 -3.604 -5.365
-2.119 -5.903 -1.144
Mg Co Sn
1 1 6
direct
0.000 0.000 0.000
0.500 0.500 0.000
0.762 0.517 0.560
0.762 0.078 0.440
0.238 0.922 0.560
0.238 0.483 0.440
0.702 0.704 0.000
0.298 0.296 0.000
```

Properties
As for the magnetization: 0.000 μB per atom. The space-group type is C2/m. The energy relative to the elements is 0.078 eV per atom.

***

Entry from Alexandria: a relaxed structure of HgIr3C (PBE).

```
HgIr3C
1.0
-0.764 -4.759 -1.265
4.124 0.081 -2.796
2.690 -1.476 3.926
C Ir Hg
1 3 1
direct
0.500 0.500 0.500
0.000 0.500 0.000
0.000 0.000 0.500
0.500 0.000 0.000
0.000 0.000 0.000
```

Properties
As for the magnetization: 0.603 μB per atom. The energy above the most stable polymorph in this dataset is 3328 meV per atom. The space-group type is Pm-3m. The energy relative to the elements is 3.853 eV per atom.

***

Entry from Alexandria: a relaxed structure of Zn4PdAu (PBE).

```
Zn4PdAu
1.0
5.028 0.000 0.000
2.514 4.354 0.000
2.514 1.451 4.105
Zn Au Pd
4 1 1
direct
0.625 0.625 0.126
0.625 0.126 0.625
0.625 0.625 0.625
0.126 0.625 0.625
0.000 0.000 0.000
0.250 0.250 0.250
```

Properties
As for the magnetization: 0.000 μB per atom. The energy above the most stable polymorph in this dataset is 68 meV per atom. The space-group type is F-43m. The energy relative to the elements is -0.206 eV per atom.

***

Entry from Alexandria: a relaxed structure of InCo3Ge (PBE).

```
InCo3Ge
1.0
4.325 0.000 0.000
0.000 4.325 0.000
0.000 0.000 4.325
Ge Co In
1 3 1
direct
0.000 0.000 0.000
0.000 0.500 0.000
0.000 0.000 0.500
0.500 0.000 0.000
0.500 0.500 0.500
```

Properties
As for the magnetization: 0.463 μB per atom. The energy above the most stable polymorph in this dataset is 0 meV per atom. The space-group type is Pm-3m. The energy relative to the elements is 0.586 eV per atom.